VSiIO2: relaxed, PBE with a Hubbard U.

a b c (Å): 3.818 3.818 7.236
angles (deg): 90.00 90.00 90.00
Atoms (fractional coordinates):
V  0.000  0.000  0.000
O  0.500  0.000  0.000
O  0.000  0.500  0.000
I  0.000  0.000  0.500
Si  0.500  0.500  0.500

Output
Its polymorph energy (0 for the lowest one) is 0.0974 eV/atom. The value obtained for the volume is 21.1 Å³ per atom. The value obtained for the total magnetization is 1.13 Bohr magnetons per cell.